Record 1
DFT (PBE-GGA) results for LuThFePd after structural relaxation.

Formation energy, kcal/mol of atoms: -7.63
Total moment, μB per cell: 1.0
Space group: F-43m

The structure in extended XYZ format:
```
4
Lattice="-0.5407 -4.5003 1.9078 2.1477 -3.8608 -2.1602 3.8115 -2.2255 2.1690" Properties=species:S:1:pos:R:3 pbc="T T T"
Th 0.0000 0.0000 0.0000
Fe 4.0638 -7.9400 1.4374
Pd 1.3546 -2.6467 0.4791
Lu 2.7092 -5.2933 0.9583
```

***

Record 2
DFT (PBE-GGA) results for Pm8Ge3Te3P after structural relaxation.

Formation energy from raw total energies, eV per atom: -1.15
Total moment, μB per cell: 1.3
Space group: R-3m

The structure in extended XYZ format:
```
15
Lattice="-2.4139 5.2995 -6.3268 2.7791 -7.9230 -1.8534 -7.8226 1.0227 3.8413" Properties=species:S:1:pos:R:3 pbc="T T T"
Te 1.3896 -3.9615 -0.9267
Pm -6.1143 0.8440 -2.8036
Pm -4.8714 -1.7573 0.3867
Pm -4.0002 4.1893 -3.7819
Te 0.0000 0.0000 0.0000
Ge -5.1183 3.1611 -1.2428
Pm -2.7717 1.4923 -0.5621
Ge -2.5217 -3.4501 0.9939
Pm -3.4571 -5.7901 -0.5570
Te 0.1826 -1.3118 -4.0901
Pm -4.6856 -3.0931 -3.7769
Ge -3.7287 -0.8004 -2.1695
Pm -1.3431 -2.4448 -1.5354
P -3.9113 0.5114 1.9206
Pm -2.5860 0.1565 -4.7256
```

***

Going through the records in order, we get total energy values of -6.730 -5.597 eV per atom.